# 1
Material: Li2MnHg
Method: DFT, PBE
State: optimized geometry

a b c (Å): 2.9294 4.7604 5.0016
angles (deg): 90.00 94.89 90.00
Space group P2/m (No. 10)
Symmetry-distinct sites (fractional):
Li: 0.2302 0.0000 0.2470 (multiplicity 2)
Mn: 0.5000 0.5000 0.0000 (multiplicity 1)
Hg: 0.0000 0.5000 0.5000 (multiplicity 1)

Summary:
Its crystal system is monoclinic. For the total energy, the calculation gives -3.228 eV/atom. Its calculated formation energy is 0.097 eV per atom.

=====

# 2
Material: MnTlCo2C
Method: DFT, PBE
State: optimized geometry

a b c (Å): 4.7589 4.7589 4.8832
angles (deg): 90.00 90.00 90.00
Space group P4/mmm (No. 123)
Symmetry-distinct sites (fractional):
Mn: 0.0000 0.0000 0.0000 (multiplicity 1)
Tl: 0.0000 0.0000 0.5000 (multiplicity 1)
Co: 0.0000 0.5000 0.5000 (multiplicity 2)
C: 0.5000 0.5000 0.0000 (multiplicity 1)

Summary:
Its crystal system is tetragonal. For the total energy, the calculation gives -3.757 eV/atom. Its calculated formation energy is 3.237 eV per atom.

=====

# 3
Material: Dy2Al6Si4Au
Method: DFT, PBE
State: optimized geometry

a b c (Å): 4.2158 4.2158 49.9788
angles (deg): 90.00 90.00 120.00
Space group R-3m (No. 166, hexagonal axes)
Symmetry-distinct sites (fractional):
Dy: 0.0000 0.0000 0.0648 (multiplicity 6)
Al: 0.0000 0.0000 0.1840 (multiplicity 6)
Al: 0.0000 0.0000 0.3144 (multiplicity 6)
Al: 0.0000 0.0000 0.4470 (multiplicity 6)
Si: 0.0000 0.0000 0.2347 (multiplicity 6)
Si: 0.0000 0.0000 0.3645 (multiplicity 6)
Au: 0.0000 0.0000 0.5000 (multiplicity 3)

Summary:
Its crystal system is trigonal. For the total energy, the calculation gives -4.743 eV/atom.

=====

# 4
Material: Ti3Te4S2
Method: DFT, PBE
State: optimized geometry

a b c (Å): 3.5719 3.5719 21.6288
angles (deg): 90.00 90.00 120.00
Space group P3m1 (No. 156)
Symmetry-distinct sites (fractional):
Ti: 0.0000 0.0000 0.0000 (multiplicity 1)
Ti: 0.0000 0.0000 0.3410 (multiplicity 1)
Ti: 0.6667 0.3333 0.6881 (multiplicity 1)
Te: 0.0000 0.0000 0.6019 (multiplicity 1)
Te: 0.0000 0.0000 0.7735 (multiplicity 1)
Te: 0.6667 0.3333 0.2554 (multiplicity 1)
Te: 0.6667 0.3333 0.4268 (multiplicity 1)
S: 0.6667 0.3333 0.0668 (multiplicity 1)
S: 0.6667 0.3333 0.9322 (multiplicity 1)

Summary:
Its crystal system is trigonal. For the total energy, the calculation gives -5.662 eV/atom.

=====

# 5
Material: RbNa3Hg4Br12
Method: DFT, PBE
State: optimized geometry

a b c (Å): 15.5773 15.5773 11.4326
angles (deg): 90.00 90.00 120.00
Space group R32 (No. 155, hexagonal axes)
Symmetry-distinct sites (fractional):
Rb: 0.0000 0.0000 0.0000 (multiplicity 3)
Na: 0.0000 0.5531 0.0000 (multiplicity 9)
Hg: 0.0000 0.0000 0.5000 (multiplicity 3)
Hg: 0.0000 0.4401 0.5000 (multiplicity 9)
Br: 0.0000 0.6068 0.5000 (multiplicity 9)
Br: 0.0000 0.8344 0.5000 (multiplicity 9)
Br: 0.0537 0.2165 0.1674 (multiplicity 18)

Summary:
Its crystal system is trigonal. For the total energy, the calculation gives -2.188 eV/atom.

=====

# 6
Material: Al2TlSiRu
Method: DFT, PBE
State: optimized geometry

a b c (Å): 4.8308 4.8308 4.4756
angles (deg): 90.00 90.00 90.00
Space group P4/mmm (No. 123)
Symmetry-distinct sites (fractional):
Al: 0.0000 0.5000 0.0000 (multiplicity 2)
Tl: 0.0000 0.0000 0.5000 (multiplicity 1)
Si: 0.5000 0.5000 0.0000 (multiplicity 1)
Ru: 0.5000 0.5000 0.5000 (multiplicity 1)

Summary:
Its crystal system is tetragonal. For the total energy, the calculation gives -4.363 eV/atom.

=====

# 7
Material: HfCoBr2
Method: DFT, PBE
State: optimized geometry

a b c (Å): 6.5548 6.5548 6.5548
angles (deg): 90.00 90.00 90.00
Space group Fm-3m (No. 225)
Symmetry-distinct sites (fractional):
Hf: 0.0000 0.0000 0.0000 (multiplicity 4)
Co: 0.0000 0.0000 0.5000 (multiplicity 4)
Br: 0.2500 0.2500 0.2500 (multiplicity 8)

Summary:
Its crystal system is cubic. For the total energy, the calculation gives -4.745 eV/atom.

=====

# 8
Material: Cd4HgO5
Method: DFT, PBE
State: optimized geometry

a b c (Å): 7.6373 7.6373 4.7863
angles (deg): 90.00 90.00 90.00
Space group I4/m (No. 87)
Symmetry-distinct sites (fractional):
Cd: 0.1030 0.6990 0.0000 (multiplicity 8)
Hg: 0.0000 0.0000 0.5000 (multiplicity 2)
O: 0.0000 0.0000 0.0000 (multiplicity 2)
O: 0.1060 0.6915 0.5000 (multiplicity 8)

Summary:
Its crystal system is tetragonal. For the total energy, the calculation gives -3.717 eV/atom.